Compound: Ba2PrCu3O6
Source: the Alexandria database
Functional: PBEsol
Structure: optimized geometry

## Properties
density	6.51	g/cm³
SG	P4/mmm (123)
raw formation energy	-1.87	eV/atom

abc: 3.8775 3.8775 11.9188
angles: 90.00 90.00 90.00
Closest atoms and distances in Å follow each position.
Fractional positions:
Ba1 0.0000 0.0000 0.1933  8 O 2.79-2.86
Ba2 0.0000 0.0000 0.8067  8 O 2.79-2.86
Pr1 0.0000 0.0000 0.5000  8 O 2.48
Cu1 0.5000 0.5000 0.0000  2 O 1.78
Cu2 0.5000 0.5000 0.3584  4 O 1.94
Cu3 0.5000 0.5000 0.6416  4 O 1.94
O1 0.0000 0.5000 0.3701  2 Cu 1.94
O2 0.0000 0.5000 0.6299  2 Cu 1.94
O3 0.5000 0.0000 0.3701  2 Cu 1.94
O4 0.5000 0.0000 0.6299  2 Cu 1.94
O5 0.5000 0.5000 0.1496  1 Cu 1.78
O6 0.5000 0.5000 0.8504  1 Cu 1.78

Compound: BaPrCu2O5
Source: the Alexandria database
Functional: PBEsol
Structure: optimized geometry

## Properties
density	7.01	g/cm³
SG	Pmm2 (25)
raw formation energy	-1.83	eV/atom

abc: 3.8662 7.7829 11.4634
angles: 90.00 90.00 90.00
Closest atoms and distances in Å follow each position.
Fractional positions:
Ba1 0.0000 0.0000 0.0000  10 O 2.70-2.92
Ba2 0.0000 0.0000 0.3631  10 O 2.73-2.86
Ba3 0.0000 0.5000 0.0082  12 O 2.80-2.99
Pr1 0.0000 0.0000 0.6799  8 O 2.45-2.51
Pr2 0.0000 0.5000 0.3391  8 O 2.54-2.66
Pr3 0.0000 0.5000 0.6769  8 O 2.45-2.51
Cu1 0.5000 0.2513 0.5250  5 O 1.94-2.05
Cu2 0.5000 0.2509 0.8350  5 O 1.95-2.11
Cu3 0.5000 0.2551 0.1813  5 O 1.87-1.94
Cu4 0.5000 0.7449 0.1813  5 O 1.87-1.94
Cu5 0.5000 0.7487 0.5250  5 O 1.94-2.05
Cu6 0.5000 0.7491 0.8350  5 O 1.95-2.11
O1 0.0000 0.2457 0.1926  2 Cu 1.94
O2 0.0000 0.2499 0.8099  2 Cu 1.95
O3 0.0000 0.2529 0.5439  2 Cu 1.95
O4 0.0000 0.7471 0.5439  2 Cu 1.95
O5 0.0000 0.7501 0.8099  2 Cu 1.95
O6 0.0000 0.7543 0.1926  2 Cu 1.94
O7 0.5000 0.0000 0.5450  2 Cu 1.97
O8 0.5000 0.0000 0.8121  2 Cu 1.97
O9 0.5000 0.2397 0.0188  1 Cu 1.87
O10 0.5000 0.2648 0.3467  2 Cu 1.90-2.05
O11 0.5000 0.5000 0.1954  2 Cu 1.91
O12 0.5000 0.5000 0.5376  2 Cu 1.94
O13 0.5000 0.5000 0.8095  2 Cu 1.96
O14 0.5000 0.7352 0.3467  2 Cu 1.90-2.05
O15 0.5000 0.7603 0.0188  1 Cu 1.87

Compound: Ba4PrYCu6O14
Source: the Alexandria database
Functional: PBEsol
Structure: optimized geometry

## Properties
density	6.69	g/cm³
SG	Cmmm (65)
raw formation energy	-1.83	eV/atom

abc: 12.1817 12.1817 3.8853
angles: 90.00 90.00 143.40
Closest atoms and distances in Å follow each position.
Fractional positions:
Ba1 0.1595 0.8405 0.0000  10 O 2.73-3.00
Ba2 0.3399 0.6601 0.0000  10 O 2.74-2.98
Ba3 0.6601 0.3399 0.0000  10 O 2.74-2.98
Ba4 0.8405 0.1595 0.0000  10 O 2.73-3.00
Pr1 0.5000 0.5000 0.0000  8 O 2.47
Y1 0.0000 0.0000 0.0000  8 O 2.36-2.39
Cu1 0.0000 0.5000 0.5000  4 O 1.86-1.94
Cu2 0.1713 0.3227 0.5000  4 O 1.92-1.96
Cu3 0.3227 0.1713 0.5000  4 O 1.92-1.96
Cu4 0.5000 0.0000 0.5000  4 O 1.86-1.94
Cu5 0.6773 0.8287 0.5000  4 O 1.92-1.96
Cu6 0.8287 0.6773 0.5000  4 O 1.92-1.96
O1 0.0000 0.5000 0.0000  2 Cu 1.94
O2 0.0604 0.9396 0.5000  2 Cu 1.92
O3 0.0792 0.4188 0.5000  1 Cu 1.86
O4 0.1778 0.3048 0.0000  2 Cu 1.96
O5 0.3048 0.1778 0.0000  2 Cu 1.96
O6 0.4188 0.0792 0.5000  1 Cu 1.86
O7 0.4339 0.5661 0.5000  2 Cu 1.95
O8 0.5000 0.0000 0.0000  2 Cu 1.94
O9 0.5661 0.4339 0.5000  2 Cu 1.95
O10 0.5812 0.9208 0.5000  1 Cu 1.86
O11 0.6952 0.8222 0.0000  2 Cu 1.96
O12 0.8222 0.6952 0.0000  2 Cu 1.96
O13 0.9208 0.5812 0.5000  1 Cu 1.86
O14 0.9396 0.0604 0.5000  2 Cu 1.92

Compound: Ba4PrYCu6O14
Source: the Alexandria database
Functional: PBEsol
Structure: optimized geometry

## Properties
density	6.68	g/cm³
SG	Pmmm (47)
raw formation energy	-1.83	eV/atom

abc: 3.8293 7.7627 11.5688
angles: 90.00 90.00 90.00
Closest atoms and distances in Å follow each position.
Fractional positions:
Ba1 0.0000 0.0000 0.1798  10 O 2.74-3.01
Ba2 0.0000 0.0000 0.8202  10 O 2.74-3.01
Ba3 0.0000 0.5000 0.1813  10 O 2.73-2.98
Ba4 0.0000 0.5000 0.8187  10 O 2.73-2.98
Pr1 0.0000 0.0000 0.5000  8 O 2.45-2.48
Y1 0.0000 0.5000 0.5000  8 O 2.38
Cu1 0.5000 0.2504 0.0000  4 O 1.85-1.94
Cu2 0.5000 0.2527 0.3483  4 O 1.94-1.97
Cu3 0.5000 0.2527 0.6517  4 O 1.94-1.97
Cu4 0.5000 0.7473 0.3483  4 O 1.94-1.97
Cu5 0.5000 0.7473 0.6517  4 O 1.94-1.97
Cu6 0.5000 0.7496 0.0000  4 O 1.85-1.94
O1 0.0000 0.2585 0.3736  2 Cu 1.94
O2 0.0000 0.2585 0.6264  2 Cu 1.94
O3 0.0000 0.7415 0.3736  2 Cu 1.94
O4 0.0000 0.7415 0.6264  2 Cu 1.94
O5 0.5000 0.0000 0.0000  2 Cu 1.94
O6 0.5000 0.0000 0.3675  2 Cu 1.97
O7 0.5000 0.0000 0.6325  2 Cu 1.97
O8 0.5000 0.2507 0.1603  1 Cu 1.85
O9 0.5000 0.2507 0.8397  1 Cu 1.85
O10 0.5000 0.5000 0.0000  2 Cu 1.94
O11 0.5000 0.5000 0.3784  2 Cu 1.95
O12 0.5000 0.5000 0.6216  2 Cu 1.95
O13 0.5000 0.7493 0.1603  1 Cu 1.85
O14 0.5000 0.7493 0.8397  1 Cu 1.85

Compound: Ba4PrYCu6O14
Source: the Alexandria database
Functional: PBEsol
Structure: optimized geometry

## Properties
density	6.68	g/cm³
SG	P-4m2 (115)
raw formation energy	-1.83	eV/atom

abc: 3.8557 3.8557 23.1355
angles: 90.00 90.00 90.00
Closest atoms and distances in Å follow each position.
Fractional positions:
Ba1 0.0000 0.0000 0.1575  10 O 2.74-2.98
Ba2 0.0000 0.0000 0.3384  10 O 2.74-2.94
Ba3 0.0000 0.0000 0.6616  10 O 2.74-2.94
Ba4 0.0000 0.0000 0.8425  10 O 2.74-2.98
Pr1 0.0000 0.0000 0.5000  8 O 2.45-2.48
Y1 0.0000 0.0000 0.0000  8 O 2.37-2.40
Cu1 0.5000 0.5000 0.0733  5 O 1.95-2.18
Cu2 0.5000 0.5000 0.2478  4 O 1.85-1.93
Cu3 0.5000 0.5000 0.4215  5 O 1.94-2.17
Cu4 0.5000 0.5000 0.5785  5 O 1.94-2.17
Cu5 0.5000 0.5000 0.7522  4 O 1.85-1.93
Cu6 0.5000 0.5000 0.9267  5 O 1.95-2.18
O1 0.0000 0.5000 0.0596  2 Cu 1.95
O2 0.0000 0.5000 0.2474  2 Cu 1.93
O3 0.0000 0.5000 0.4345  2 Cu 1.95
O4 0.0000 0.5000 0.5674  2 Cu 1.94
O5 0.0000 0.5000 0.9383  2 Cu 1.95
O6 0.5000 0.0000 0.0617  2 Cu 1.95
O7 0.5000 0.0000 0.4326  2 Cu 1.94
O8 0.5000 0.0000 0.5655  2 Cu 1.95
O9 0.5000 0.0000 0.7526  2 Cu 1.93
O10 0.5000 0.0000 0.9404  2 Cu 1.95
O11 0.5000 0.5000 0.1675  1 Cu 1.86
O12 0.5000 0.5000 0.3279  1 Cu 1.85
O13 0.5000 0.5000 0.6721  1 Cu 1.85
O14 0.5000 0.5000 0.8325  1 Cu 1.86

Compound: Ba3Y2Cu2PtO10
Source: the Alexandria database
Functional: PBEsol
Structure: optimized geometry

## Properties
density	6.98	g/cm³
SG	C2/m (12)
raw formation energy	-2.19	eV/atom

abc: 6.8566 6.8566 7.3724
angles: 104.25 104.25 49.87
Closest atoms and distances in Å follow each position.
Fractional positions:
Ba1 0.0000 0.0000 0.0000  8 O 2.68-2.72
Ba2 0.1530 0.1530 0.5402  1 O 2.50
Ba3 0.8470 0.8470 0.4598  1 O 2.50
Y1 0.3115 0.3115 0.1260  7 O 2.23-2.48
Y2 0.6885 0.6885 0.8740  7 O 2.23-2.48
Cu1 0.4108 0.4108 0.8005  4 O 1.94-2.05
Cu2 0.5892 0.5892 0.1995  4 O 1.94-2.05
Pt1 0.5000 0.5000 0.5000  6 O 2.01-2.02
O1 0.0872 0.5450 0.8724  1 Cu 1.94
O2 0.2616 0.7031 0.2811  1 Pt 2.02, 1 Cu 2.05
O3 0.2969 0.7384 0.7189  1 Pt 2.02, 1 Cu 2.05
O4 0.3332 0.3332 0.4509  1 Pt 2.01
O5 0.4550 0.9128 0.1276  1 Cu 1.94
O6 0.5450 0.0872 0.8724  1 Cu 1.94
O7 0.6668 0.6668 0.5491  1 Pt 2.01
O8 0.7031 0.2616 0.2811  1 Pt 2.02, 1 Cu 2.05
O9 0.7384 0.2969 0.7189  1 Pt 2.02, 1 Cu 2.05
O10 0.9128 0.4550 0.1276  1 Cu 1.94